1.
The following is a DFT calculation (PBEsol) of crystalline Cr3NiH at its relaxed geometry.

Its electronic total energy is -39.874 eV/cell. The calculated density comes out at 7.8 Mg/m³.

Cell: 3.5789 3.5789 3.5789 Å, 90.00 90.00 90.00°
With the nearest neighbours (Å) after each atom.
Space group Pm-3m (No. 221)
Inequivalent atoms, fractional coordinates:
1 Cr 0.0000 0.0000 0.5000 x3  2 H 1.79
2 Ni 0.5000 0.5000 0.5000 x1  12 Cr 2.53
3 H 0.0000 0.0000 0.0000 x1  6 Cr 1.79

2.
The following is a DFT calculation (PBEsol) of crystalline ScFeS2Br at its relaxed geometry.

The calculated density comes out at 3.9 Mg/m³. Its uncorrected formation energy is 0.642 eV/atom.

Cell: 4.9714 4.9714 4.2436 Å, 90.00 90.00 90.00°
With the nearest neighbours (Å) after each atom.
Space group P4/mmm (No. 123)
Inequivalent atoms, fractional coordinates:
1 Sc 0.0000 0.0000 0.0000 x1  8 S 3.27, 4 Fe 3.52
2 Fe 0.5000 0.5000 0.0000 x1  2 Br 2.12
3 S 0.0000 0.5000 0.5000 x2  2 Br 2.49
4 Br 0.5000 0.5000 0.5000 x1  2 Fe 2.12